[1]
## Cs9K6Ag (PBE)

Data for a relaxed Cs9K6Ag crystal.

## Properties
Crystal system: tetragonal
Symmetry: No. 87
Total moment in μB per formula unit: 0.00
Calculated formation energy in eV per atom: 0.023

a = 11.8369 Å, b = 11.8369 Å, c = 13.3261 Å
α = 116.37°, β = 116.37°, γ = 90.00°
Fractional positions:
K1 0.2789 0.0896 0.0000
Cs1 0.0346 0.2285 0.6840
Cs2 0.3506 0.5445 0.3160
K2 0.9104 0.2789 0.0000
Ag1 0.0000 0.0000 0.0000
Cs3 0.4555 0.0346 0.6840
Cs4 0.6494 0.4555 0.6840
K3 0.1668 0.1668 0.3336
K4 0.7211 0.9104 0.0000
Cs5 0.5000 0.5000 0.0000
Cs6 0.9654 0.7715 0.3160
Cs7 0.5445 0.9654 0.3160
Cs8 0.7715 0.3506 0.3160
Cs9 0.2285 0.6494 0.6840
K5 0.0896 0.7211 0.0000
K6 0.8332 0.8332 0.6664

[2]
## HgMoBr2 (PBE)

Data for a relaxed HgMoBr2 crystal.

## Properties
Crystal system: cubic
Symmetry: No. 225
Total moment in μB per formula unit: 0.00
Energy relative to the elements, uncorrected in eV/atom: 0.7933

a = 4.9404 Å, b = 4.9404 Å, c = 4.9404 Å
α = 60.00°, β = 60.00°, γ = 60.00°
Fractional positions:
Hg1 0.5000 0.5000 0.5000
Mo1 0.0000 0.0000 0.0000
Br1 0.2500 0.2500 0.2500
Br2 0.7500 0.7500 0.7500

[3]
## PrMn4B4 (PBE)

Data for a relaxed PrMn4B4 crystal.

## Properties
Crystal system: tetragonal
Symmetry: No. 86
Total moment in μB per formula unit: 4.74
Calculated formation energy in eV per atom: -0.386

a = 3.9155 Å, b = 7.1534 Å, c = 7.1534 Å
α = 90.00°, β = 90.00°, γ = 90.00°
Each line ends with the local moment (μB).
Fractional positions:
B1 0.1127 0.8041 0.6698  -0.08
Mn1 0.1154 0.8725 0.3850  1.24
Mn2 0.6154 0.8850 0.6275  1.24
Mn3 0.1154 0.1275 0.6150  1.24
Mn4 0.8846 0.3850 0.1275  1.24
Mn5 0.6154 0.1150 0.3725  1.24
Pr1 0.5000 0.5000 0.5000  -0.02
Mn6 0.3846 0.3725 0.8850  1.24
Mn7 0.8846 0.6150 0.8725  1.24
B2 0.3873 0.3041 0.1698  -0.08
B3 0.3873 0.6959 0.8302  -0.08
B4 0.6127 0.1698 0.6959  -0.08
B5 0.1127 0.1959 0.3302  -0.08
Pr2 0.0000 0.0000 0.0000  -0.02
B6 0.8873 0.6698 0.1959  -0.08
B7 0.8873 0.3302 0.8041  -0.08
B8 0.6127 0.8302 0.3041  -0.08
Mn8 0.3846 0.6275 0.1150  1.24

[4]
## BaMg2Au3 (PBE)

Data for a relaxed BaMg2Au3 crystal.

## Properties
Crystal system: orthorhombic
Symmetry: No. 63
Total moment in μB per formula unit: 0.00
Calculated formation energy in eV per atom: -0.633

a = 5.9998 Å, b = 7.1614 Å, c = 7.1614 Å
α = 105.65°, β = 90.00°, γ = 90.00°
Fractional positions:
Ba1 0.7500 0.6808 0.6808
Au1 0.2500 0.5265 0.8930
Au2 0.2500 0.9264 0.9264
Au3 0.7500 0.1070 0.4735
Mg1 0.0000 0.1998 0.8002
Au4 0.7500 0.0736 0.0736
Ba2 0.2500 0.3192 0.3192
Mg2 0.5000 0.1998 0.8002
Mg3 0.0000 0.8002 0.1998
Au5 0.7500 0.4735 0.1070
Au6 0.2500 0.8930 0.5265
Mg4 0.5000 0.8002 0.1998

The highest total moment belongs to which entry?
PrMn4B4

Repeat the fourth record exactly.
## BaMg2Au3 (PBE)

Data for a relaxed BaMg2Au3 crystal.

## Properties
Crystal system: orthorhombic
Symmetry: No. 63
Total moment in μB per formula unit: 0.00
Calculated formation energy in eV per atom: -0.633

a = 5.9998 Å, b = 7.1614 Å, c = 7.1614 Å
α = 105.65°, β = 90.00°, γ = 90.00°
Fractional positions:
Ba1 0.7500 0.6808 0.6808
Au1 0.2500 0.5265 0.8930
Au2 0.2500 0.9264 0.9264
Au3 0.7500 0.1070 0.4735
Mg1 0.0000 0.1998 0.8002
Au4 0.7500 0.0736 0.0736
Ba2 0.2500 0.3192 0.3192
Mg2 0.5000 0.1998 0.8002
Mg3 0.0000 0.8002 0.1998
Au5 0.7500 0.4735 0.1070
Au6 0.2500 0.8930 0.5265
Mg4 0.5000 0.8002 0.1998